1.
# Ca2LaP (PBE, relaxed)
data_Ca2LaP
_space_group_name_H-M_alt 'C m m m'
_space_group_IT_number 65
_space_group_name_Hall '-C 2 2'
_cell_length_a 5.870
_cell_length_b 12.303
_cell_length_c 4.049
_cell_angle_alpha 90.00
_cell_angle_beta 90.00
_cell_angle_gamma 90.00
loop_
_atom_site_label
_atom_site_type_symbol
_atom_site_fract_x
_atom_site_fract_y
_atom_site_fract_z
Ca1 Ca 0.000 0.158 0.000
La1 La 0.000 0.500 0.500
P1 P 0.000 0.000 0.500
# - calculated total energy (eV per atom) = -4.15
# - N(E_F) (states/eV per cell) = 8.61

---

2.
# Sr2BeI (PBE, relaxed)
data_Sr2BeI
_space_group_name_H-M_alt 'I -4 2 d'
_space_group_IT_number 122
_space_group_name_Hall 'I -4 2bw'
_cell_length_a 8.404
_cell_length_b 8.404
_cell_length_c 8.862
_cell_angle_alpha 90.00
_cell_angle_beta 90.00
_cell_angle_gamma 90.00
loop_
_atom_site_label
_atom_site_type_symbol
_atom_site_fract_x
_atom_site_fract_y
_atom_site_fract_z
Sr1 Sr 0.217 0.750 0.125
Be1 Be 0.000 0.000 0.000
I1 I 0.000 0.000 0.500
# - N(E_F) (states/eV per cell) = 10.76
# - uncorrected formation energy (meV/atom) = -95
# - distance to the lowest polymorph of the same formula (eV per atom) = 0.000

---

3.
# ScCo2Pt (PBE, relaxed)
data_ScCo2Pt
_space_group_name_H-M_alt 'I -4 2 d'
_space_group_IT_number 122
_space_group_name_Hall 'I -4 2bw'
_cell_length_a 3.734
_cell_length_b 3.734
_cell_length_c 18.434
_cell_angle_alpha 90.00
_cell_angle_beta 90.00
_cell_angle_gamma 90.00
loop_
_atom_site_label
_atom_site_type_symbol
_atom_site_fract_x
_atom_site_fract_y
_atom_site_fract_z
Sc1 Sc 0.000 0.000 0.000
Co1 Co 0.184 0.250 0.625
Pt1 Pt 0.000 0.000 0.500
# - calculated total energy (eV per atom) = -6.70
# - N(E_F) (states/eV per cell) = 25.46

---

4.
# Ce2MnGa2Ru5 (PBE, relaxed)
data_Ce2MnGa2Ru5
_space_group_name_H-M_alt 'P 4/m b m'
_space_group_IT_number 127
_space_group_name_Hall '-P 4 2ab'
_cell_length_a 10.005
_cell_length_b 10.005
_cell_length_c 3.376
_cell_angle_alpha 90.00
_cell_angle_beta 90.00
_cell_angle_gamma 90.00
loop_
_atom_site_label
_atom_site_type_symbol
_atom_site_fract_x
_atom_site_fract_y
_atom_site_fract_z
Ce1 Ce 0.172 0.328 0.000
Mn1 Mn 0.000 0.000 0.000
Ga1 Ga 0.128 0.628 0.000
Ru1 Ru 0.000 0.500 0.500
Ru2 Ru 0.071 0.804 0.500
# - calculated total energy (eV per atom) = -7.56
# - N(E_F) (states/eV per cell) = 16.44

---

5.
# KHgCl2F (PBE, relaxed)
data_KHgCl2F
_space_group_name_H-M_alt 'C m c m'
_space_group_IT_number 63
_space_group_name_Hall '-C 2c 2'
_cell_length_a 3.959
_cell_length_b 13.090
_cell_length_c 9.380
_cell_angle_alpha 90.00
_cell_angle_beta 90.00
_cell_angle_gamma 90.00
loop_
_atom_site_label
_atom_site_type_symbol
_atom_site_fract_x
_atom_site_fract_y
_atom_site_fract_z
K1 K 0.000 0.206 0.250
Hg1 Hg 0.000 0.500 0.000
Cl1 Cl 0.000 0.129 0.562
F1 F 0.000 0.427 0.750
# - N(E_F) (states/eV per cell) = 0.00
# - uncorrected formation energy (meV/atom) = -1421
# - distance to the lowest polymorph of the same formula (eV per atom) = 0.000

---

6.
# Nb2Ni5Pt (PBE, relaxed)
data_Nb2Ni5Pt
_space_group_name_H-M_alt 'I 4/m m m'
_space_group_IT_number 139
_space_group_name_Hall '-I 4 2'
_cell_length_a 5.375
_cell_length_b 5.375
_cell_length_c 7.339
_cell_angle_alpha 90.00
_cell_angle_beta 90.00
_cell_angle_gamma 90.00
loop_
_atom_site_label
_atom_site_type_symbol
_atom_site_fract_x
_atom_site_fract_y
_atom_site_fract_z
Nb1 Nb 0.000 0.500 0.000
Ni1 Ni 0.000 0.000 0.000
Ni2 Ni 0.250 0.250 0.250
Pt1 Pt 0.000 0.000 0.500
# - calculated total energy (eV per atom) = -7.11
# - N(E_F) (states/eV per cell) = 23.99

---

7.
# TaZn2InSi (PBE, relaxed)
data_TaZn2InSi
_space_group_name_H-M_alt 'P 4/m m m'
_space_group_IT_number 123
_space_group_name_Hall '-P 4 2'
_cell_length_a 4.804
_cell_length_b 4.804
_cell_length_c 5.104
_cell_angle_alpha 90.00
_cell_angle_beta 90.00
_cell_angle_gamma 90.00
loop_
_atom_site_label
_atom_site_type_symbol
_atom_site_fract_x
_atom_site_fract_y
_atom_site_fract_z
Ta1 Ta 0.000 0.000 0.000
Zn1 Zn 0.000 0.500 0.500
In1 In 0.500 0.500 0.500
Si1 Si 0.500 0.500 0.000
# - N(E_F) (states/eV per cell) = 4.59
# - uncorrected formation energy (meV/atom) = 1538

---

8.
# ScAg2Cl (PBE, relaxed)
data_ScAg2Cl
_space_group_name_H-M_alt 'I -4 2 d'
_space_group_IT_number 122
_space_group_name_Hall 'I -4 2bw'
_cell_length_a 8.052
_cell_length_b 8.052
_cell_length_c 5.314
_cell_angle_alpha 90.00
_cell_angle_beta 90.00
_cell_angle_gamma 90.00
loop_
_atom_site_label
_atom_site_type_symbol
_atom_site_fract_x
_atom_site_fract_y
_atom_site_fract_z
Sc1 Sc 0.000 0.000 0.000
Ag1 Ag 0.244 0.250 0.625
Cl1 Cl 0.000 0.000 0.500
# - N(E_F) (states/eV per cell) = 2.26
# - uncorrected formation energy (meV/atom) = -292
# - distance to the lowest polymorph of the same formula (eV per atom) = 0.268

---

9.
# SiNi2Au (PBE, relaxed)
data_SiNi2Au
_space_group_name_H-M_alt 'I -4 m 2'
_space_group_IT_number 119
_space_group_name_Hall 'I -4 -2'
_cell_length_a 3.682
_cell_length_b 3.682
_cell_length_c 7.590
_cell_angle_alpha 90.00
_cell_angle_beta 90.00
_cell_angle_gamma 90.00
loop_
_atom_site_label
_atom_site_type_symbol
_atom_site_fract_x
_atom_site_fract_y
_atom_site_fract_z
Si1 Si 0.000 0.000 0.000
Ni1 Ni 0.000 0.000 0.500
Ni2 Ni 0.000 0.500 0.250
Au1 Au 0.000 0.500 0.750
# - N(E_F) (states/eV per cell) = 5.09
# - uncorrected formation energy (meV/atom) = -84

---

10.
# Ca2AsRu (PBE, relaxed)
data_Ca2AsRu
_space_group_name_H-M_alt 'I m m 2'
_space_group_IT_number 44
_cell_length_a 3.512
_cell_length_b 4.775
_cell_length_c 11.063
_cell_angle_alpha 90.00
_cell_angle_beta 90.00
_cell_angle_gamma 90.00
loop_
_space_group_symop_operation_xyz
'x,y,z'
'-x,-y,z'
'-x,y,z'
'x,-y,z'
'x+1/2,y+1/2,z+1/2'
'-x+1/2,-y+1/2,z+1/2'
'-x+1/2,y+1/2,z+1/2'
'x+1/2,-y+1/2,z+1/2'
loop_
_atom_site_label
_atom_site_type_symbol
_atom_site_fract_x
_atom_site_fract_y
_atom_site_fract_z
Ca1 Ca 0.000 0.000 0.000
Ca2 Ca 0.000 0.500 0.218
As1 As 0.000 0.000 0.415
Ru1 Ru 0.000 0.500 0.762
# - calculated total energy (eV per atom) = -4.83
# - N(E_F) (states/eV per cell) = 9.45

---

11.
# Cr2NiIr (PBE, relaxed)
data_Cr2NiIr
_space_group_name_H-M_alt 'I m m 2'
_space_group_IT_number 44
_cell_length_a 2.914
_cell_length_b 4.195
_cell_length_c 8.213
_cell_angle_alpha 90.00
_cell_angle_beta 90.00
_cell_angle_gamma 90.00
loop_
_space_group_symop_operation_xyz
'x,y,z'
'-x,-y,z'
'-x,y,z'
'x,-y,z'
'x+1/2,y+1/2,z+1/2'
'-x+1/2,-y+1/2,z+1/2'
'-x+1/2,y+1/2,z+1/2'
'x+1/2,-y+1/2,z+1/2'
loop_
_atom_site_label
_atom_site_type_symbol
_atom_site_fract_x
_atom_site_fract_y
_atom_site_fract_z
Cr1 Cr 0.000 0.000 0.000
Cr2 Cr 0.000 0.500 0.285
Ni1 Ni 0.000 0.000 0.537
Ir1 Ir 0.000 0.500 0.757
# - calculated total energy (eV per atom) = -8.39
# - N(E_F) (states/eV per cell) = 10.01

---

12.
# AlFe3Ir (PBE, relaxed)
data_AlFe3Ir
_space_group_name_H-M_alt 'P m -3 m'
_space_group_IT_number 221
_space_group_name_Hall '-P 4 2 3'
_cell_length_a 4.643
_cell_length_b 4.643
_cell_length_c 4.643
_cell_angle_alpha 90.00
_cell_angle_beta 90.00
_cell_angle_gamma 90.00
loop_
_atom_site_label
_atom_site_type_symbol
_atom_site_fract_x
_atom_site_fract_y
_atom_site_fract_z
Al1 Al 0.000 0.000 0.000
Fe1 Fe 0.000 0.500 0.500
Ir1 Ir 0.500 0.500 0.500
# - N(E_F) (states/eV per cell) = 5.35
# - distance to the lowest polymorph of the same formula (eV per atom) = 0.000

---

13.
# Cs2NdPaO6 (PBE, relaxed)
data_Cs2NdPaO6
_space_group_name_H-M_alt 'F m -3 m'
_space_group_IT_number 225
_space_group_name_Hall '-F 4 2 3'
_cell_length_a 9.123
_cell_length_b 9.123
_cell_length_c 9.123
_cell_angle_alpha 90.00
_cell_angle_beta 90.00
_cell_angle_gamma 90.00
loop_
_atom_site_label
_atom_site_type_symbol
_atom_site_fract_x
_atom_site_fract_y
_atom_site_fract_z
Cs1 Cs 0.250 0.250 0.250
Nd1 Nd 0.000 0.000 0.000
Pa1 Pa 0.000 0.000 0.500
O1 O 0.000 0.000 0.263
# - N(E_F) (states/eV per cell) = 37.20
# - uncorrected formation energy (meV/atom) = -2465